1.
A geometry-optimized BaBe3H structure, computed with PBE.

POSCAR file:
```
BaBe3H
1.0
4.352 0.000 0.000
0.000 4.352 0.000
0.000 0.000 4.352
Ba Be H
1 3 1
direct
0.000 0.000 0.000 Ba
0.000 0.500 0.500 Be
0.500 0.000 0.500 Be
0.500 0.500 0.000 Be
0.500 0.500 0.500 H
```

**Symmetry**: Pm-3m, No. 221
**Total DFT energy (no corrections)**: -10.515 eV/cell

2.
A geometry-optimized MnIr2W structure, computed with PBE.

POSCAR file:
```
MnIr2W
1.0
1.372 0.792 8.837
-1.372 0.792 8.837
0.000 -1.585 8.837
Mn Ir W
1 2 1
direct
0.000 0.000 0.000 Mn
0.258 0.258 0.258 Ir
0.502 0.502 0.502 Ir
0.752 0.752 0.752 W
```

**Symmetry**: R3m, No. 160
**E_form**: 39 meV per atom
**Total DFT energy (no corrections)**: -39.687 eV/cell

3.
A geometry-optimized MgSiSn structure, computed with PBE.

POSCAR file:
```
MgSiSn
1.0
3.537 0.000 0.000
0.000 4.411 0.000
-0.427 0.000 9.435
Mg Si Sn
2 2 2
direct
0.000 0.000 0.000 Mg
0.436 0.500 0.774 Mg
0.029 0.500 0.217 Si
0.509 0.500 0.056 Si
0.159 0.000 0.378 Sn
0.914 0.000 0.668 Sn
```

**Raw formation energy**: 55 meV per atom
**Symmetry**: Pm, No. 6
**Total DFT energy (no corrections)**: -21.709 eV/cell

4.
A geometry-optimized In2TcP structure, computed with PBE.

POSCAR file:
```
In2TcP
1.0
2.754 -4.001 0.000
2.754 4.001 0.000
0.000 0.000 3.302
In Tc P
2 1 1
direct
0.000 0.500 0.000 In
0.500 0.000 0.000 In
0.000 0.000 0.500 Tc
0.500 0.500 0.500 P
```

**Symmetry**: Cmmm, No. 65
**E_form**: 427 meV per atom
**Total DFT energy (no corrections)**: -19.545 eV/cell

5.
A geometry-optimized BeAgSb structure, computed with PBE.

POSCAR file:
```
BeAgSb
1.0
4.744 0.000 0.000
0.000 3.907 0.000
-0.924 0.000 6.273
Be Ag Sb
2 2 2
direct
0.126 0.000 0.042 Be
0.874 0.500 0.958 Be
0.350 0.502 0.826 Ag
0.650 0.002 0.174 Ag
0.216 0.500 0.303 Sb
0.784 0.000 0.697 Sb
```

**Raw formation energy**: 172 meV per atom
**Symmetry**: P2_1, No. 4
**Total DFT energy (no corrections)**: -20.366 eV/cell

6.
A geometry-optimized Mn2OsBr structure, computed with PBE.

POSCAR file:
```
Mn2OsBr
1.0
3.030 0.000 0.000
0.000 3.066 0.000
0.000 0.000 7.442
Mn Os Br
2 1 1
direct
0.000 0.000 0.206 Mn
0.000 0.000 0.794 Mn
0.500 0.500 0.000 Os
0.500 0.000 0.500 Br
```

**Raw formation energy**: 304 meV per atom
**Symmetry**: Pmmm, No. 47
**Total DFT energy (no corrections)**: -30.026 eV/cell

| no. | size of the total moment (μB/cell) |
| --- | --- |
| 1 | 0.00 |
| 2 | 1.38 |
| 3 | 0.00 |
| 4 | 0.00 |
| 5 | 0.00 |
| 6 | 7.24 |